(1)
First-principles (PBE) data for a geometry-optimized DyHoIn4 structure, as listed in the Alexandria database.

```
data_DyHoIn4
_chemical_formula_sum 'Dy4 Ho4 In16'
_cell_length_a 8.4650
_cell_length_b 8.4650
_cell_length_c 8.4650
_cell_angle_alpha 90.00
_cell_angle_beta 90.00
_cell_angle_gamma 90.00
_space_group_name_H-M_alt 'F -4 3 m'
_space_group_IT_number 216
_space_group_name_Hall 'F -4 2 3'
loop_
_atom_site_label
_atom_site_type_symbol
_atom_site_fract_x
_atom_site_fract_y
_atom_site_fract_z
Dy1 Dy 0.0000 0.0000 0.0000
Ho1 Ho 0.2500 0.2500 0.7500
In1 In 0.1250 0.1250 0.3750
```

Computed properties:
Formation energy in kJ/mol of atoms: -30.4

(2)
First-principles (PBE) data for a geometry-optimized DyHo6In2 structure, as listed in the Alexandria database.

```
data_DyHo6In2
_chemical_formula_sum 'Dy2 Ho12 In4'
_cell_length_a 6.2452
_cell_length_b 6.2452
_cell_length_c 15.1092
_cell_angle_alpha 90.00
_cell_angle_beta 90.00
_cell_angle_gamma 90.00
_space_group_name_H-M_alt 'I -4 2 m'
_space_group_IT_number 121
_space_group_name_Hall 'I -4 2'
loop_
_atom_site_label
_atom_site_type_symbol
_atom_site_fract_x
_atom_site_fract_y
_atom_site_fract_z
Dy1 Dy 0.0000 0.0000 0.0000
Ho1 Ho 0.0000 0.5000 0.2500
Ho2 Ho 0.1778 0.1778 0.5868
In1 In 0.0000 0.0000 0.2133
```

Computed properties:
ΔE to the lowest computed polymorph in eV per formula unit: 4.80
Formation energy in kJ/mol of atoms: 31.8

(3)
First-principles (PBE) data for a geometry-optimized DyHo15In4 structure, as listed in the Alexandria database.

```
data_DyHo15In4
_chemical_formula_sum 'Dy1 Ho15 In4'
_cell_length_a 4.8343
_cell_length_b 4.8343
_cell_length_c 24.5511
_cell_angle_alpha 90.00
_cell_angle_beta 90.00
_cell_angle_gamma 90.00
_space_group_name_H-M_alt 'P 4/m m m'
_space_group_IT_number 123
_space_group_name_Hall '-P 4 2'
loop_
_atom_site_label
_atom_site_type_symbol
_atom_site_fract_x
_atom_site_fract_y
_atom_site_fract_z
Dy1 Dy 0.0000 0.0000 0.0000
Ho1 Ho 0.0000 0.5000 0.1047
Ho2 Ho 0.0000 0.5000 0.3031
Ho3 Ho 0.0000 0.5000 0.5000
Ho4 Ho 0.5000 0.5000 0.0000
Ho5 Ho 0.5000 0.5000 0.2047
Ho6 Ho 0.5000 0.5000 0.4019
In1 In 0.0000 0.0000 0.2059
In2 In 0.0000 0.0000 0.4017
```

Computed properties:
Formation energy in kJ/mol of atoms: -19.3

(4)
First-principles (PBE) data for a geometry-optimized Dy6Ho3In structure, as listed in the Alexandria database.

```
data_Dy6Ho3In
_chemical_formula_sum 'Dy12 Ho6 In2'
_cell_length_a 12.8106
_cell_length_b 3.5299
_cell_length_c 14.3632
_cell_angle_alpha 90.00
_cell_angle_beta 108.22
_cell_angle_gamma 90.00
_space_group_name_H-M_alt 'P 1 21/m 1'
_space_group_IT_number 11
_space_group_name_Hall '-P 2yb'
loop_
_atom_site_label
_atom_site_type_symbol
_atom_site_fract_x
_atom_site_fract_y
_atom_site_fract_z
Dy1 Dy 0.1137 0.2500 0.2109
Dy2 Dy 0.1634 0.7500 0.7840
Dy3 Dy 0.2471 0.2500 0.6071
Dy4 Dy 0.2815 0.7500 0.4012
Dy5 Dy 0.3569 0.7500 0.1927
Dy6 Dy 0.3633 0.2500 0.9772
Ho1 Ho 0.0318 0.7500 0.4078
Ho2 Ho 0.1227 0.7500 0.0043
Ho3 Ho 0.4905 0.7500 0.6023
In1 In 0.4220 0.7500 0.8027
```

Computed properties:
Formation energy in kJ/mol of atoms: -3.1